A plane-wave DFT calculation with PBE was carried out for a relaxed Sc6Tl2PtO crystal.

The structure in CIF format:
```
data_Sc6Tl2PtO
_cell_length_a 4.8317
_cell_length_b 4.8317
_cell_length_c 9.6144
_cell_angle_alpha 90.00
_cell_angle_beta 90.00
_cell_angle_gamma 90.00
_space_group_name_H-M_alt 'P 4/m m m'
_space_group_IT_number 123
_space_group_name_Hall '-P 4 2'
loop_
_atom_site_label
_atom_site_fract_x
_atom_site_fract_y
_atom_site_fract_z
Sc1 0.0000 0.0000 0.2241
Sc2 0.0000 0.5000 0.0000
Sc3 0.0000 0.5000 0.5000
Tl1 0.5000 0.5000 0.2254
Pt1 0.0000 0.0000 0.5000
O1 0.0000 0.0000 0.0000
```

Output
Fermi-level density of states, states/eV/atom: 0.7975
Magnetic moment, μB/f.u.: 0.001
Calculated density, g cm⁻³: 6.58
Formation energy (no corrections), kJ/mol of atoms: -77

=====

A plane-wave DFT calculation with PBE was carried out for a relaxed MnAl2Pb crystal.

The structure in CIF format:
```
data_MnAl2Pb
_cell_length_a 3.0719
_cell_length_b 3.0719
_cell_length_c 28.2997
_cell_angle_alpha 90.00
_cell_angle_beta 90.00
_cell_angle_gamma 120.00
_space_group_name_H-M_alt 'R -3 m'
_space_group_IT_number 166
_space_group_name_Hall '-R 3 2"'
loop_
_atom_site_label
_atom_site_fract_x
_atom_site_fract_y
_atom_site_fract_z
Mn1 0.0000 0.0000 0.0000
Al1 0.0000 0.0000 0.2669
Pb1 0.0000 0.0000 0.5000
```

Output
Fermi-level density of states, states/eV/atom: 0.6352
Magnetic moment, μB/f.u.: 2.514
DFT formation energy, eV per atom: 0.25
Calculated density, g cm⁻³: 6.81

=====

A plane-wave DFT calculation with PBE was carried out for a relaxed TiNbFeSi2 crystal.

The structure in CIF format:
```
data_TiNbFeSi2
_cell_length_a 4.2334
_cell_length_b 4.2334
_cell_length_c 4.6457
_cell_angle_alpha 90.00
_cell_angle_beta 90.00
_cell_angle_gamma 90.00
_space_group_name_H-M_alt 'P 4/m m m'
_space_group_IT_number 123
_space_group_name_Hall '-P 4 2'
loop_
_atom_site_label
_atom_site_fract_x
_atom_site_fract_y
_atom_site_fract_z
Ti1 0.0000 0.0000 0.0000
Nb1 0.5000 0.5000 0.0000
Fe1 0.5000 0.5000 0.5000
Si1 0.0000 0.5000 0.5000
```

Output
Fermi-level density of states, states/eV/atom: 1.2441
Magnetic moment, μB/f.u.: 0.012
Calculated density, g cm⁻³: 5.04
Formation energy (no corrections), kJ/mol of atoms: 32

=====

A plane-wave DFT calculation with PBE was carried out for a relaxed Np2TlCuTe4 crystal.

The structure in CIF format:
```
data_Np2TlCuTe4
_cell_length_a 4.3663
_cell_length_b 15.2240
_cell_length_c 15.3306
_cell_angle_alpha 90.00
_cell_angle_beta 90.00
_cell_angle_gamma 90.00
_space_group_name_H-M_alt 'C m c m'
_space_group_IT_number 63
_space_group_name_Hall '-C 2c 2'
loop_
_atom_site_label
_atom_site_fract_x
_atom_site_fract_y
_atom_site_fract_z
Np1 0.0000 0.1339 0.0631
Tl1 0.0000 0.3856 0.2500
Cu1 0.0000 0.3416 0.7500
Te1 0.0000 0.0618 0.2500
Te2 0.0000 0.2316 0.6158
Te3 0.0000 0.5000 0.0000
```

Output
Fermi-level density of states, states/eV/atom: 2.5696
Magnetic moment, μB/f.u.: 8.000
Calculated density, g cm⁻³: 8.16
Formation energy (no corrections), kJ/mol of atoms: -48